A plane-wave DFT calculation with PBE was carried out for a geometry-optimized TbDy2Ni structure.

Lattice parameters (Å, degrees): 9.676 9.676 9.676 21.73 21.73 21.73
Fractional coordinates of all 4 atoms:
Tb1 0.000 0.000 0.000
Dy1 0.228 0.228 0.228
Dy2 0.772 0.772 0.772
Ni1 0.500 0.500 0.500

Summary:
ρ: 8.28 g/cm3
energy: -4.98 eV/atom
E_form: -0.081 eV per atom
spin magnetization: 0.0000 μB per atom
SG: R-3m (166)
V: 108.8 Å³ per cell